(1)
A plane-wave DFT calculation with GGA-PBE was carried out for crystalline Ho3In2Pd6 at its relaxed geometry.

a b c (Å): 8.3697 8.3697 8.3697
angles (deg): 109.47 109.47 109.47
Fractional coordinates of all 22 atoms:
Ho1 0.7055 0.0000 0.7055
Ho2 0.2945 0.0000 0.2945
Ho3 0.0000 0.2945 0.2945
Ho4 0.0000 0.7055 0.7055
Ho5 0.2945 0.2945 0.0000
Ho6 0.7055 0.7055 0.0000
In1 0.0000 0.5000 0.0000
In2 0.5000 0.0000 0.0000
In3 0.0000 0.0000 0.5000
In4 0.5000 0.5000 0.5000
Pd1 0.6551 0.3103 0.6551
Pd2 0.6551 0.0000 0.3449
Pd3 0.3449 0.0000 0.6551
Pd4 0.3449 0.6897 0.3449
Pd5 0.0000 0.6551 0.3449
Pd6 0.6897 0.3449 0.3449
Pd7 0.3103 0.6551 0.6551
Pd8 0.0000 0.3449 0.6551
Pd9 0.3449 0.6551 0.0000
Pd10 0.6551 0.6551 0.3103
Pd11 0.3449 0.3449 0.6897
Pd12 0.6551 0.3449 0.0000

Values from the calculation:
Energy of formation from the pure elements in eV per atom: -0.758
Space group: Im-3m
Magnetization in μB/cell: 0.0



(2)
A plane-wave DFT calculation with GGA-PBE was carried out for crystalline HoIn3Pd3 at its relaxed geometry.

a b c (Å): 7.9955 7.9955 7.2520
angles (deg): 56.55 56.55 60.00
Fractional coordinates of all 14 atoms:
Ho1 0.3331 0.3331 0.0006
Ho2 0.6669 0.6669 0.9994
In1 0.4483 0.7846 0.6471
In2 0.7846 0.1200 0.6471
In3 0.1200 0.4483 0.6471
In4 0.8800 0.5517 0.3529
In5 0.2154 0.8800 0.3529
In6 0.5517 0.2154 0.3529
Pd1 0.2597 0.6371 0.1530
Pd2 0.9502 0.2597 0.1530
Pd3 0.6371 0.9502 0.1530
Pd4 0.3629 0.0498 0.8470
Pd5 0.0498 0.7403 0.8470
Pd6 0.7403 0.3629 0.8470

Values from the calculation:
Energy of formation from the pure elements in eV per atom: -0.533
Space group: R-3
Energy relative to the lowest polymorph listed for this composition in meV/atom: 0
Magnetization in μB/cell: 0.0



(3)
A plane-wave DFT calculation with GGA-PBE was carried out for crystalline Ho5In2Pd2 at its relaxed geometry.

a b c (Å): 7.1719 8.5306 8.8381
angles (deg): 118.86 90.00 90.00
Fractional coordinates of all 18 atoms:
Ho1 0.0000 0.0000 0.0000
Ho2 0.5000 0.5000 0.0000
Ho3 0.8440 0.8054 0.2459
Ho4 0.1560 0.4405 0.2459
Ho5 0.3440 0.9405 0.2459
Ho6 0.6560 0.3054 0.2459
Ho7 0.1560 0.1946 0.7541
Ho8 0.8440 0.5595 0.7541
Ho9 0.6560 0.0595 0.7541
Ho10 0.3440 0.6946 0.7541
In1 0.0000 0.2121 0.4241
In2 0.5000 0.7121 0.4241
In3 0.0000 0.7879 0.5759
In4 0.5000 0.2879 0.5759
Pd1 0.6344 0.8775 0.0000
Pd2 0.3656 0.1225 0.0000
Pd3 0.1344 0.6225 0.0000
Pd4 0.8656 0.3775 0.0000

Values from the calculation:
Energy of formation from the pure elements in eV per atom: -0.565
Space group: Cmce
Magnetization in μB/cell: 0.0



(4)
A plane-wave DFT calculation with GGA-PBE was carried out for crystalline Ho3In2Pd at its relaxed geometry.

a b c (Å): 3.5465 3.5465 11.7304
angles (deg): 90.00 90.00 90.00
Fractional coordinates of all 6 atoms:
Ho1 0.0000 0.0000 0.0000
Ho2 0.0000 0.0000 0.6443
Ho3 0.0000 0.0000 0.3557
In1 0.5000 0.5000 0.8237
In2 0.5000 0.5000 0.1763
Pd1 0.5000 0.5000 0.5000

Values from the calculation:
Energy of formation from the pure elements in eV per atom: -0.608
Space group: P4/mmm
Magnetization in μB/cell: 0.0



(5)
A plane-wave DFT calculation with GGA-PBE was carried out for crystalline HoIn2Pd at its relaxed geometry.

a b c (Å): 4.7052 4.3429 4.3429
angles (deg): 90.00 90.00 90.00
Fractional coordinates of all 4 atoms:
Ho1 0.5000 0.5000 0.5000
Pd1 0.5000 0.0000 0.0000
In1 0.0000 0.0000 0.5000
In2 0.0000 0.5000 0.0000

Values from the calculation:
Energy of formation from the pure elements in eV per atom: -0.493
Space group: P4/mmm
Magnetization in μB/cell: 0.0



(6)
A plane-wave DFT calculation with GGA-PBE was carried out for crystalline Ho5InPd at its relaxed geometry.

a b c (Å): 5.8183 5.8183 11.8550
angles (deg): 79.12 79.12 84.09
Fractional coordinates of all 14 atoms:
Ho1 0.9221 0.5698 0.1253
Ho2 0.2193 0.5176 0.5691
Ho3 0.5698 0.9221 0.6253
Ho4 0.9905 0.0095 0.2500
Ho5 0.4824 0.7807 0.9309
Ho6 0.5176 0.2193 0.0691
Ho7 0.0095 0.9905 0.7500
Ho8 0.4302 0.0779 0.3747
Ho9 0.7807 0.4824 0.4309
Ho10 0.0779 0.4302 0.8747
In1 0.3897 0.6103 0.2500
In2 0.6103 0.3897 0.7500
Pd1 0.0000 0.0000 0.0000
Pd2 0.0000 0.0000 0.5000

Values from the calculation:
Energy of formation from the pure elements in eV per atom: -0.251
Space group: C2/c
Magnetization in μB/cell: 0.0



(7)
A plane-wave DFT calculation with GGA-PBE was carried out for crystalline Ho4In3Pd at its relaxed geometry.

a b c (Å): 3.5624 3.5624 15.7585
angles (deg): 90.00 90.00 90.00
Fractional coordinates of all 8 atoms:
Ho1 0.0000 0.0000 0.8933
Ho2 0.0000 0.0000 0.1067
Ho3 0.0000 0.0000 0.3686
Ho4 0.0000 0.0000 0.6314
Pd1 0.5000 0.5000 0.0000
In1 0.5000 0.5000 0.2391
In2 0.5000 0.5000 0.5000
In3 0.5000 0.5000 0.7609

Values from the calculation:
Energy of formation from the pure elements in eV per atom: -0.572
Space group: P4/mmm
Magnetization in μB/cell: 0.0



(8)
A plane-wave DFT calculation with GGA-PBE was carried out for crystalline Ho3InPd2 at its relaxed geometry.

a b c (Å): 3.5323 3.5323 11.0847
angles (deg): 90.00 90.00 90.00
Fractional coordinates of all 6 atoms:
Ho1 0.0000 0.0000 0.0000
Ho2 0.0000 0.0000 0.6905
Ho3 0.0000 0.0000 0.3095
In1 0.5000 0.5000 0.5000
Pd1 0.5000 0.5000 0.8397
Pd2 0.5000 0.5000 0.1603

Values from the calculation:
Energy of formation from the pure elements in eV per atom: -0.765
Space group: P4/mmm
Magnetization in μB/cell: 0.0